Ba5TbTe6: optimized geometry, GGA-PBE.

Values from the calculation:
density of states at the Fermi level = 3.10 states/eV per cell
total DFT energy (no corrections) = -4.4394 eV/atom
M_tot = 0.00 μB/f.u.

Geometry as extended XYZ:
```
12
Lattice="8.4474 0.2416 0.0000 2.6096 8.0541 0.0000 1.3048 4.0271 7.3220" Properties=species:S:1:pos:R:3 pbc="T T T"
Ba 5.5285 4.1479 4.7963
Ba 1.3048 4.0271 2.4178
Ba 5.5285 4.1479 0.0000
Ba 2.6096 8.0541 4.9042
Ba 6.8333 8.1749 2.5257
Tb 0.0000 0.0000 0.0000
Te 7.0803 2.0545 2.2666
Te 3.9768 6.2413 2.2666
Te 2.6024 1.8912 0.0000
Te 8.4547 6.4046 0.0000
Te 8.3850 6.0815 5.0553
Te 5.2816 10.2684 5.0553
```